This record from Alexandria via LeMat-Bulk describes an optimized crystal structure of TlCdPb. The functional is PBEsol.

Calculated values
DFT formation energy = 0.16 eV/f.u.
V = 79.4 Å³/cell
magnetization = 0.0 μB per formula unit
polymorph energy (0 for the lowest one) = 0.05 eV per formula unit

```
3
Lattice="3.4178 0.0000 0.0000 0.0114 4.5962 0.0000 1.5867 2.2325 5.0550" Properties=species:S:1:pos:R:3 pbc="T T T"
Tl 0.0000 0.0000 0.0000
Cd 3.3641 4.5627 3.4182
Pb 1.7038 2.2880 1.7672
```